MgV8O8F8: relaxed, PBE with a Hubbard U.

a = 4.9825 Å, b = 5.6797 Å, c = 10.4354 Å
α = 96.78°, β = 90.97°, γ = 92.84°
With the nearest neighbours (Å) after each atom.
Space group P1 (No. 1)
Inequivalent atoms, fractional coordinates:
Mg 0.0000 0.0000 0.0000 (multiplicity 1)  3 O 1.91-2.02, 2 F 1.94-2.12
V 0.9997 0.8606 0.6457 (multiplicity 1)  4 O 2.00-2.06, 2 F 2.18
V 0.0178 0.1235 0.4111 (multiplicity 1)  3 O 1.97-2.04, 2 F 2.08-2.09
V 0.4867 0.1227 0.9039 (multiplicity 1)  3 O 1.95-2.04, 3 F 2.05-2.16
V 0.4936 0.8786 0.1533 (multiplicity 1)  4 F 2.09-2.16, 2 O 2.11-2.14
V 0.5054 0.3591 0.6391 (multiplicity 1)  2 O 1.92-1.95, 4 F 2.08-2.11
V 0.5190 0.6190 0.3895 (multiplicity 1)  3 O 1.92-2.05, 3 F 2.10-2.13
V 0.9854 0.4124 0.1669 (multiplicity 1)  3 O 1.93-2.14, 2 F 2.09
V 0.9872 0.5629 0.8686 (multiplicity 1)  3 O 2.00-2.19, 1 F 2.08
O 0.1698 0.9054 0.8288 (multiplicity 1)  1 Mg 2.02, 3 V 2.04-2.19
O 0.1876 0.4037 0.3298 (multiplicity 1)  3 V 1.97-2.05
O 0.1948 0.1477 0.5824 (multiplicity 1)  3 V 1.95-2.04
O 0.3213 0.1664 0.0721 (multiplicity 1)  1 Mg 1.91, 2 V 1.95-2.14
O 0.6818 0.5933 0.2236 (multiplicity 1)  3 V 1.92-2.11
O 0.8065 0.5706 0.6965 (multiplicity 1)  3 V 1.92-2.00
O 0.8186 0.8463 0.4715 (multiplicity 1)  3 V 1.99-2.03
O 0.8285 0.3003 0.9766 (multiplicity 1)  1 Mg 1.98, 3 V 2.02-2.14
F 0.1384 0.6929 0.0720 (multiplicity 1)  3 V 2.09-2.27, 1 Mg 2.12
F 0.3160 0.9092 0.3346 (multiplicity 1)  3 V 2.08-2.11
F 0.3246 0.6446 0.5706 (multiplicity 1)  3 V 2.09-2.18
F 0.3468 0.4056 0.8232 (multiplicity 1)  3 V 2.05-2.08
F 0.6640 0.8133 0.9637 (multiplicity 1)  1 Mg 1.94, 2 V 2.16
F 0.6805 0.0819 0.7236 (multiplicity 1)  3 V 2.11-2.18
F 0.6840 0.3234 0.4588 (multiplicity 1)  3 V 2.09-2.10
F 0.8487 0.0784 0.2125 (multiplicity 1)  3 V 2.09-2.21

Output
**Energy**: -6.95 eV per atom